[1]
DFT (PBE) results for Nb6AlN after structural relaxation.

## Properties
The value obtained for the uncorrected formation energy is -0.02 eV per atom.

a b c (Å): 5.6375 5.6497 5.9664
angles (deg): 117.93 90.32 119.86
Space group P-1 (No. 2)
Inequivalent atoms, fractional coordinates:
Nb: 0.0076 0.4369 0.2316 (multiplicity 2)
Nb: 0.2044 0.1985 0.7666 (multiplicity 2)
Nb: 0.4346 0.2269 0.2304 (multiplicity 2)
Al: 0.5000 0.0000 0.5000 (multiplicity 1)
N: 0.0000 0.0000 0.0000 (multiplicity 1)


[2]
DFT (PBE) results for NaInAgBi after structural relaxation.

## Properties
The energy relative to the elements is -0.3 eV per formula unit.

a b c (Å): 7.3665 7.3665 7.3665
angles (deg): 90.00 90.00 90.00
Space group F-43m (No. 216)
Inequivalent atoms, fractional coordinates:
Na: 0.0000 0.0000 0.0000 (multiplicity 4)
In: 0.2500 0.2500 0.7500 (multiplicity 4)
Ag: 0.0000 0.0000 0.5000 (multiplicity 4)
Bi: 0.2500 0.2500 0.2500 (multiplicity 4)


| no. | total magnetic moment (μB/cell) |
| --- | --- |
| 1 | 0.0 |
| 2 | 0.0 |